# 1
First-principles (GGA-PBE) data for LaNi2Hg2 after structural relaxation, as listed in Alexandria via LeMat-Bulk.

It has space group P4/mbm (No. 127), with a = 7.212 Å, b = 7.212 Å, c = 3.824 Å, α = 90.00°, β = 90.00° and γ = 90.00°. Symmetry generates all atoms from La at (0.000, 0.000, 0.000), Ni at (0.123, 0.377, 0.000) and Hg at (0.161, 0.661, 0.500).

The formation energy from the elements comes out at -0.080 eV per atom. As for the polymorph energy (0 for the lowest one): 0.114 eV per atom.

---

# 2
First-principles (GGA-PBE) data for LaNiHg2 after structural relaxation, as listed in Alexandria via LeMat-Bulk.

It has space group I-42d (No. 122), with a = 4.191 Å, b = 4.191 Å, c = 22.599 Å, α = 90.00°, β = 90.00° and γ = 90.00°. Symmetry generates all atoms from La at (0.000, 0.000, 0.000), Ni at (0.000, 0.000, 0.500) and Hg at (0.230, 0.250, 0.625).

The formation energy from the elements comes out at -0.029 eV per atom.

---

# 3
First-principles (GGA-PBE) data for LaNiHgPb2 after structural relaxation, as listed in Alexandria via LeMat-Bulk.

It has space group P4/mmm (No. 123), with a = 5.136 Å, b = 5.136 Å, c = 5.033 Å, α = 90.00°, β = 90.00° and γ = 90.00°. Symmetry generates all atoms from La at (0.000, 0.000, 0.000), Ni at (0.500, 0.500, 0.500), Hg at (0.500, 0.500, 0.000) and Pb at (0.000, 0.500, 0.500).

The formation energy from the elements comes out at -0.129 eV per atom. As for the polymorph energy (0 for the lowest one): 0.061 eV per atom.

---

# 4
First-principles (GGA-PBE) data for LaNiHgPb2 after structural relaxation, as listed in Alexandria via LeMat-Bulk.

It has space group P4/mmm (No. 123), with a = 5.146 Å, b = 5.146 Å, c = 5.258 Å, α = 90.00°, β = 90.00° and γ = 90.00°. Symmetry generates all atoms from La at (0.000, 0.000, 0.000), Ni at (0.000, 0.000, 0.500), Hg at (0.500, 0.500, 0.000) and Pb at (0.000, 0.500, 0.500).

The formation energy from the elements comes out at -0.190 eV per atom. As for the polymorph energy (0 for the lowest one): 0.000 eV per atom.

---

# 5
First-principles (GGA-PBE) data for LaNiHgPd after structural relaxation, as listed in Alexandria via LeMat-Bulk.

It has space group F-43m (No. 216), with a = 6.888 Å, b = 6.888 Å, c = 6.888 Å, α = 90.00°, β = 90.00° and γ = 90.00°. Symmetry generates all atoms from La at (0.000, 0.000, 0.000), Ni at (0.250, 0.250, 0.250), Hg at (0.000, 0.000, 0.500) and Pd at (0.250, 0.250, 0.750).

The formation energy from the elements comes out at -0.365 eV per atom.

---

# 6
First-principles (GGA-PBE) data for LaPmNiHg after structural relaxation, as listed in Alexandria via LeMat-Bulk.

It has space group F-43m (No. 216), with a = 7.429 Å, b = 7.429 Å, c = 7.429 Å, α = 90.00°, β = 90.00° and γ = 90.00°. Symmetry generates all atoms from La at (0.000, 0.000, 0.000), Pm at (0.000, 0.000, 0.500), Ni at (0.250, 0.250, 0.750) and Hg at (0.250, 0.250, 0.250).

The formation energy from the elements comes out at -0.281 eV per atom.

---

# 7
First-principles (GGA-PBE) data for LaPrNiHg after structural relaxation, as listed in Alexandria via LeMat-Bulk.

It has space group F-43m (No. 216), with a = 7.480 Å, b = 7.480 Å, c = 7.480 Å, α = 90.00°, β = 90.00° and γ = 90.00°. Symmetry generates all atoms from La at (0.000, 0.000, 0.000), Pr at (0.000, 0.000, 0.500), Ni at (0.250, 0.250, 0.750) and Hg at (0.250, 0.250, 0.250).

The formation energy from the elements comes out at -0.267 eV per atom.

---

# 8
First-principles (GGA-PBE) data for LaNi2HgRh after structural relaxation, as listed in Alexandria via LeMat-Bulk.

It has space group P4/mmm (No. 123), with a = 4.709 Å, b = 4.709 Å, c = 5.077 Å, α = 90.00°, β = 90.00° and γ = 90.00°. Symmetry generates all atoms from La at (0.000, 0.000, 0.000), Ni at (0.000, 0.500, 0.500), Hg at (0.500, 0.500, 0.500) and Rh at (0.500, 0.500, 0.000).

The formation energy from the elements comes out at 0.506 eV per atom.

---

The records above yield total DFT energy (no corrections) values of -34.986 -45.706 -19.073 -19.379 -70.653 -67.546 -67.431 -21.615 eV per cell, respectively.
The records above yield density values of 10.978 10.019 10.165 9.690 10.257 8.801 8.555 8.257 Mg/m³, respectively.